Run 1
ScTi2AgC | the Alexandria database | GGA-PBE | optimized geometry; crystal system = tetragonal; calculated density = 4.193 g cm⁻³; SG = P4/mmm (123)
1.0
5.138 0.000 0.000
0.000 3.909 0.000
0.000 0.000 5.138
Ag C Sc Ti
1 1 1 2
Cartesian
0.000 0.000 0.000 Ag
0.000 1.955 0.000 C
2.569 1.955 2.569 Sc
2.569 0.000 0.000 Ti
0.000 0.000 2.569 Ti

Run 2
ScTi2AgC | the Alexandria database | GGA-PBE | optimized geometry; crystal system = tetragonal; calculated density = 5.393 g cm⁻³; SG = P4/mmm (123)
1.0
-1.471 3.940 -0.361
-2.329 -1.173 -3.319
-3.412 -1.021 2.755
Sc Ti C Ag
1 2 1 1
Cartesian
-1.706 -0.511 1.378 Sc
-1.164 -0.587 -1.660 Ti
-0.735 1.970 -0.181 Ti
0.000 0.000 0.000 C
-3.606 0.873 -0.462 Ag

What should be chosen as the most stable of them? Choose run 2.

Run 1
Ag3CSe | the Alexandria database | GGA-PBE | optimized geometry; crystal system = cubic; calculated density = 5.346 g cm⁻³; SG = Pm-3m (221)
1.0
5.050 0.000 0.000
0.000 5.050 0.000
0.000 0.000 5.050
Ag C Se
3 1 1
Cartesian
0.000 2.525 0.000 Ag
0.000 0.000 2.525 Ag
2.525 0.000 0.000 Ag
2.525 2.525 2.525 C
0.000 0.000 0.000 Se

Run 2
Ag3CSe | the Alexandria database | GGA-PBE | optimized geometry; crystal system = cubic; calculated density = 8.004 g cm⁻³; SG = Pm-3m (221)
1.0
4.414 0.000 0.000
0.000 4.414 0.000
0.000 0.000 4.414
Se Ag C
1 3 1
Cartesian
2.207 2.207 2.207 Se
0.000 2.207 0.000 Ag
0.000 0.000 2.207 Ag
2.207 0.000 0.000 Ag
0.000 0.000 0.000 C

What should be chosen as the most stable of them? Choose run 2.

Run 1
Si3AgC | the Alexandria database | GGA-PBE | optimized geometry; crystal system = cubic; calculated density = 3.149 g cm⁻³; SG = Pm-3m (221)
1.0
-4.142 2.324 -0.279
-1.445 -2.986 -3.410
-1.841 -2.884 3.305
Si Ag C
3 1 1
Cartesian
-0.920 -1.442 1.653 Si
-0.723 -1.493 -1.705 Si
-2.071 1.162 -0.139 Si
0.000 0.000 0.000 Ag
-3.714 -1.773 -0.192 C

Run 2
Si3AgC | the Alexandria database | GGA-PBE | optimized geometry; crystal system = cubic; calculated density = 4.859 g cm⁻³; SG = Pm-3m (221)
1.0
4.117 0.000 0.000
0.000 4.117 0.000
0.000 0.000 4.117
Si C Ag
3 1 1
Cartesian
0.000 0.000 2.058 Si
0.000 2.058 0.000 Si
2.058 0.000 0.000 Si
0.000 0.000 0.000 C
2.058 2.058 2.058 Ag

What should be chosen as the most stable of them? Choose run 2.

Run 1
AgSnC3 | the Alexandria database | GGA-PBE | optimized geometry; crystal system = cubic; calculated density = 5.776 g cm⁻³; SG = Pm-3m (221)
1.0
-0.323 -1.982 -3.719
-2.952 -2.556 1.618
-3.008 2.721 -1.189
Sn C Ag
1 3 1
Cartesian
-3.141 -0.908 -1.645 Sn
-1.476 -1.278 0.809 C
-1.504 1.361 -0.595 C
-0.161 -0.991 -1.860 C
0.000 0.000 0.000 Ag

Run 2
AgSnC3 | the Alexandria database | GGA-PBE | optimized geometry; crystal system = cubic; calculated density = 5.378 g cm⁻³; SG = Pm-3m (221)
1.0
4.328 0.000 0.000
0.000 4.328 0.000
0.000 0.000 4.328
Ag Sn C
1 1 3
Cartesian
2.164 2.164 2.164 Ag
0.000 0.000 0.000 Sn
0.000 2.164 0.000 C
2.164 0.000 0.000 C
0.000 0.000 2.164 C

What should be chosen as the most stable of them? Choose run 2.

Run 1
SrAg3C | the Alexandria database | GGA-PBE | optimized geometry; crystal system = cubic; calculated density = 7.297 g cm⁻³; SG = Pm-3m (221)
1.0
4.584 0.000 0.000
0.000 4.584 0.000
0.000 0.000 4.584
Ag C Sr
3 1 1
Cartesian
0.000 2.292 0.000 Ag
0.000 0.000 2.292 Ag
2.292 0.000 0.000 Ag
0.000 0.000 0.000 C
2.292 2.292 2.292 Sr

Run 2
SrAg3C | the Alexandria database | GGA-PBE | optimized geometry; crystal system = cubic; calculated density = 3.256 g cm⁻³; SG = Pm-3m (221)
1.0
5.999 0.000 0.000
0.000 5.999 0.000
0.000 0.000 5.999
Ag Sr C
3 1 1
Cartesian
0.000 2.999 0.000 Ag
2.999 0.000 0.000 Ag
0.000 0.000 2.999 Ag
0.000 0.000 0.000 Sr
2.999 2.999 2.999 C

What should be chosen as the most stable of them? Choose run 1.

Run 1
Sr2AgC2 | the Alexandria database | GGA-PBE | optimized geometry; crystal system = tetragonal; calculated density = 5.005 g cm⁻³; SG = P4/mbm (127)
1.0
-6.683 -3.215 3.034
0.209 -5.723 -5.605
1.749 -1.820 1.924
C Ag Sr
4 2 4
Cartesian
-1.408 -2.903 1.151 C
-0.016 -5.145 -2.236 C
-4.709 -5.613 1.588 C
-3.317 -7.855 -1.798 C
0.000 0.000 0.000 Ag
-3.237 -4.469 -1.286 Ag
-4.290 -2.916 1.140 Sr
-2.185 -6.022 -3.711 Sr
-0.905 -2.494 -1.537 Sr
-5.570 -6.444 -1.034 Sr

Run 2
Sr2AgC2 | the Alexandria database | GGA-PBE | optimized geometry; crystal system = tetragonal; calculated density = 4.527 g cm⁻³; SG = I4/mmm (139)
1.0
-3.260 1.481 0.834
-0.352 -2.354 2.802
1.961 5.013 6.871
C Sr Ag
2 2 1
Cartesian
-1.553 3.028 4.762 C
-0.099 1.111 5.746 C
-0.893 3.060 7.284 Sr
-0.758 1.079 3.224 Sr
0.000 0.000 0.000 Ag

What should be chosen as the most stable of them? Choose run 2.

Run 1
SrAgC3 | the Alexandria database | GGA-PBE | optimized geometry; crystal system = cubic; calculated density = 3.804 g cm⁻³; SG = Pm-3m (221)
1.0
-2.172 4.011 -0.944
-4.104 -2.201 0.092
-0.367 0.875 4.560
C Ag Sr
3 1 1
Cartesian
-1.086 2.005 -0.472 C
-0.184 0.437 2.280 C
-2.052 -1.100 0.046 C
-3.322 1.342 1.854 Ag
0.000 0.000 0.000 Sr

Run 2
SrAgC3 | the Alexandria database | GGA-PBE | optimized geometry; crystal system = cubic; calculated density = 4.815 g cm⁻³; SG = Pm-3m (221)
1.0
-2.519 2.599 -2.332
-3.063 -3.026 -0.064
-1.678 1.622 3.619
Ag Sr C
1 1 3
Cartesian
0.000 0.000 0.000 Ag
-3.630 0.598 0.611 Sr
-1.532 -1.513 -0.032 C
-0.839 0.811 1.809 C
-1.259 1.300 -1.166 C

What should be chosen as the most stable of them? Choose run 2.

Run 1
TaAg3C | the Alexandria database | GGA-PBE | optimized geometry; crystal system = cubic; calculated density = 10.644 g cm⁻³; SG = Pm-3m (221)
1.0
-2.759 2.522 -2.164
-0.275 -2.976 -3.118
-3.312 -1.854 2.062
Ag C Ta
3 1 1
Cartesian
-1.379 1.261 -1.082 Ag
-1.656 -0.927 1.031 Ag
-0.138 -1.488 -1.559 Ag
0.000 0.000 0.000 C
-3.173 -1.154 -1.610 Ta

Run 2
TaAg3C | the Alexandria database | GGA-PBE | optimized geometry; crystal system = cubic; calculated density = 6.064 g cm⁻³; SG = Pm-3m (221)
1.0
5.210 0.000 0.000
0.000 5.210 0.000
0.000 0.000 5.210
Ag C Ta
3 1 1
Cartesian
0.000 0.000 2.605 Ag
0.000 2.605 0.000 Ag
2.605 0.000 0.000 Ag
2.605 2.605 2.605 C
0.000 0.000 0.000 Ta

What should be chosen as the most stable of them? Choose run 1.